Entry 1:
DFT (PBE) results for an optimized crystal structure of KScPt2. Values from VASP.

Structure (Quantum ESPRESSO input):
```
&SYSTEM
  ibrav = 0, nat = 8, ntyp = 3
/
ATOMIC_SPECIES
K 39.10 K.upf
Sc 44.96 Sc.upf
Pt 195.08 Pt.upf
ATOMIC_POSITIONS crystal
K 0.000 0.000 0.000
K 0.750 0.250 0.500
Sc 0.250 0.750 0.500
Sc 0.500 0.500 0.000
Pt 0.166 0.125 0.541
Pt 0.375 0.834 0.959
Pt 0.584 0.625 0.459
Pt 0.875 0.416 0.041
CELL_PARAMETERS angstrom
-3.846 3.846 3.006
3.846 -3.846 3.006
3.846 3.846 -3.006
```

=====

Entry 2:
DFT (PBE) results for an optimized crystal structure of Ac6Cd3Ag. Values from VASP.

Structure (Quantum ESPRESSO input):
```
&SYSTEM
  ibrav = 0, nat = 20, ntyp = 3
/
ATOMIC_SPECIES
Ac 227.00 Ac.upf
Cd 112.41 Cd.upf
Ag 107.87 Ag.upf
ATOMIC_POSITIONS crystal
Ac 0.028 0.250 0.410
Ac 0.163 0.750 0.173
Ac 0.247 0.250 0.998
Ac 0.352 0.750 0.822
Ac 0.370 0.250 0.350
Ac 0.397 0.250 0.637
Ac 0.603 0.750 0.363
Ac 0.630 0.750 0.650
Ac 0.648 0.250 0.178
Ac 0.753 0.750 0.002
Ac 0.837 0.250 0.827
Ac 0.972 0.750 0.590
Cd 0.028 0.750 0.876
Cd 0.106 0.250 0.716
Cd 0.268 0.750 0.473
Cd 0.732 0.250 0.527
Cd 0.894 0.750 0.284
Cd 0.972 0.250 0.124
Ag 0.452 0.750 0.094
Ag 0.548 0.250 0.906
CELL_PARAMETERS angstrom
10.002 0.000 0.000
0.000 5.805 0.000
-4.303 0.000 12.159
```

=====

Entry 3:
! LaHo6Sc | Alexandria | PBE | relaxed; values from VASP
! Excess energy over the best structure of this formula in the dataset (meV per atom): 0.0
&SYSTEM
  ibrav = 0, nat = 8, ntyp = 3
/
ATOMIC_SPECIES
La 138.91 La.upf
Ho 164.93 Ho.upf
Sc 44.96 Sc.upf
ATOMIC_POSITIONS crystal
La 0.000 0.000 0.000
Ho 0.000 0.500 0.259
Ho 0.000 0.500 0.741
Ho 0.500 0.000 0.259
Ho 0.500 0.000 0.741
Ho 0.500 0.500 0.000
Ho 0.500 0.500 0.500
Sc 0.000 0.000 0.500
CELL_PARAMETERS angstrom
4.995 0.000 0.000
0.000 4.995 0.000
0.000 0.000 9.934

=====

Entry 4:
DFT (PBE) results for an optimized crystal structure of La6Pr3Cd2. Values from VASP.

Structure (Quantum ESPRESSO input):
```
&SYSTEM
  ibrav = 0, nat = 11, ntyp = 3
/
ATOMIC_SPECIES
La 138.91 La.upf
Pr 140.91 Pr.upf
Cd 112.41 Cd.upf
ATOMIC_POSITIONS crystal
La 0.061 0.388 0.220
La 0.260 0.260 0.757
La 0.388 0.061 0.220
La 0.612 0.939 0.780
La 0.740 0.740 0.243
La 0.939 0.612 0.780
Pr 0.169 0.831 0.500
Pr 0.500 0.500 0.500
Pr 0.831 0.169 0.500
Cd 0.355 0.645 0.000
Cd 0.645 0.355 0.000
CELL_PARAMETERS angstrom
3.172 -5.640 0.000
3.172 5.640 0.000
-2.645 0.000 11.152
```

=====

Number 1: Fermi-level density of states 0.8 states/eV/f.u., VASP energy -5.10 eV per atom, energy of formation -0.224 eV per atom. Number 2: Fermi-level density of states 10.0 states/eV/f.u., VASP energy -3.20 eV per atom, energy of formation -0.172 eV per atom. Number 3: Fermi-level density of states 12.8 states/eV/f.u., VASP energy -4.79 eV per atom, energy of formation 0.046 eV per atom. Number 4: Fermi-level density of states 14.1 states/eV/f.u., VASP energy -4.15 eV per atom, energy of formation 0.010 eV per atom.